Record 1
Material: CsHo2Zr2O7
Method: DFT, PBE
State: optimized geometry

The structure belongs to space group Immm (No. 71); the cell edges are 4.385, 4.521 and 18.558 Å and the angles 90.00°, 90.00° and 90.00°. The asymmetric unit holds Cs at (0.000, 0.000, 0.000), Ho at (0.000, 0.500, 0.257), Zr at (0.000, 0.000, 0.390), O at (0.000, 0.000, 0.268), O at (0.000, 0.000, 0.500), O at (0.000, 0.500, 0.130) and O at (0.000, 0.500, 0.377).

Record 2
Material: Sr2Ge7Pd12
Method: DFT, PBE
State: optimized geometry

The structure belongs to space group P-6 (No. 174); the cell edges are 10.3331, 10.3331 and 3.9480 Å and the angles 90.00°, 90.00° and 120.00°. The asymmetric unit holds Sr at (0.0000, 0.0000, 0.0000), Sr at (0.3333, 0.6667, 0.5000), Ge at (0.0686, 0.4519, 0.0000), Ge at (0.2632, 0.2221, 0.5000), Ge at (0.6667, 0.3333, 0.0000), Pd at (0.0475, 0.2807, 0.5000), Pd at (0.1058, 0.7135, 0.0000), Pd at (0.3940, 0.1803, 0.0000) and Pd at (0.5375, 0.4307, 0.5000).

Its calculated formation energy is -0.63 eV per atom.

These records have DFT total energy values of -97.620, -111.230 eV/f.u., in the order they appear.
These records have magnetization values of 0.00, 0.00 μB/cell, in the order they appear.